A plane-wave DFT calculation with PBE was carried out for a relaxed La2YSb crystal.

## Properties
The calculated total energy comes out at -5.48 eV/atom. The value obtained for the energy relative to the elements, uncorrected is -0.374 eV/atom.

a b c (Å): 4.1709 4.1709 29.6438
angles (deg): 90.00 90.00 120.00
Space group R3m (No. 160, hexagonal axes)
Symmetry-distinct sites (fractional):
La 0.0000 0.0000 0.0000 [3 per cell]
La 0.0000 0.0000 0.1956 [3 per cell]
Y 0.0000 0.0000 0.7650 [3 per cell]
Sb 0.0000 0.0000 0.5979 [3 per cell]